Entry 1:
# KLa2Al, optimized geometry, DFT PBE
data_KLa2Al
_chemical_formula_sum 'K1 La2 Al1'
_cell_length_a 4.072
_cell_length_b 5.638
_cell_length_c 5.875
_cell_angle_alpha 90.00
_cell_angle_beta 90.00
_cell_angle_gamma 90.00
_space_group_name_H-M_alt 'P m m m'
_space_group_IT_number 47
loop_
_space_group_symop_operation_xyz
'x,y,z'
'-x,-y,-z'
'-x,-y,z'
'x,y,-z'
'x,-y,-z'
'-x,y,z'
'-x,y,-z'
'x,-y,z'
loop_
_atom_site_label
_atom_site_type_symbol
_atom_site_fract_x
_atom_site_fract_y
_atom_site_fract_z
_atom_site_occupancy
K1 K 0.000 0.000 0.000 1
La1 La 0.000 0.500 0.500 1
La2 La 0.500 0.500 0.000 1
Al1 Al 0.500 0.000 0.500 1
# - Final energy: -3.358 eV per atom
# - Formation enthalpy at 0 K: 0.315 eV per atom

Entry 2:
# KTlRu4, optimized geometry, DFT PBE
data_KTlRu4
_chemical_formula_sum 'K4 Tl4 Ru16'
_cell_length_a 7.584
_cell_length_b 7.584
_cell_length_c 7.584
_cell_angle_alpha 90.00
_cell_angle_beta 90.00
_cell_angle_gamma 90.00
_space_group_name_H-M_alt 'F -4 3 m'
_space_group_IT_number 216
_space_group_name_Hall 'F -4 2 3'
loop_
_atom_site_label
_atom_site_type_symbol
_atom_site_fract_x
_atom_site_fract_y
_atom_site_fract_z
_atom_site_occupancy
K1 K 0.000 0.000 0.000 1
Tl1 Tl 0.250 0.250 0.250 1
Ru1 Ru 0.124 0.124 0.624 1
# - Final energy: -5.888 eV per atom
# - Formation enthalpy at 0 K: 0.873 eV per atom

Entry 3:
# Hf4BiB, optimized geometry, DFT PBE
data_Hf4BiB
_chemical_formula_sum 'Hf16 Bi4 B4'
_cell_length_a 7.793
_cell_length_b 13.124
_cell_length_c 5.824
_cell_angle_alpha 90.00
_cell_angle_beta 119.02
_cell_angle_gamma 90.00
_space_group_name_H-M_alt 'C 1 2/c 1'
_space_group_IT_number 15
loop_
_space_group_symop_operation_xyz
'x,y,z'
'-x,-y,-z'
'-x,y,-z+1/2'
'x,-y,z+1/2'
'x+1/2,y+1/2,z'
'-x+1/2,-y+1/2,-z'
'-x+1/2,y+1/2,-z+1/2'
'x+1/2,-y+1/2,z+1/2'
loop_
_atom_site_label
_atom_site_type_symbol
_atom_site_fract_x
_atom_site_fract_y
_atom_site_fract_z
_atom_site_occupancy
Hf1 Hf 0.121 0.207 0.115 1
Hf2 Hf 0.198 0.057 0.697 1
Bi1 Bi 0.000 0.397 0.750 1
B1 B 0.000 0.068 0.250 1
# - Final energy: -8.516 eV per atom
# - Formation enthalpy at 0 K: -0.121 eV per atom

Entry 4:
# Pm2Ru3C4, optimized geometry, DFT PBE
data_Pm2Ru3C4
_chemical_formula_sum 'Pm8 Ru12 C16'
_cell_length_a 5.521
_cell_length_b 9.051
_cell_length_c 10.555
_cell_angle_alpha 90.00
_cell_angle_beta 90.00
_cell_angle_gamma 90.00
_space_group_name_H-M_alt 'F m m m'
_space_group_IT_number 69
_space_group_name_Hall '-F 2 2'
loop_
_atom_site_label
_atom_site_type_symbol
_atom_site_fract_x
_atom_site_fract_y
_atom_site_fract_z
_atom_site_occupancy
Pm1 Pm 0.000 0.000 0.163 1
Ru1 Ru 0.000 0.000 0.500 1
Ru2 Ru 0.250 0.250 0.000 1
C1 C 0.000 0.172 0.368 1
# - Final energy: -7.768 eV per atom
# - Formation enthalpy at 0 K: 0.479 eV per atom

> What is the formation enthalpy at 0 K in the second record?

0.873 eV per atom

> Look up the final energy of the second one.

-5.888 eV per atom

> What is the formula in the fourth record?

Pm2Ru3C4